Arrangement w

BaMnBr2 | SCAN | PBEsol geometry

Summary:
density of states at the Fermi level = 1.35 states/eV/cell
space-group type = No. 123
M_tot = 5.0 Bohr magnetons per cell

Structure (extended XYZ):
```
4
Lattice="5.110 0.000 0.000 0.000 5.110 0.000 0.000 0.000 4.252" Properties=species:S:1:pos:R:3 pbc="T T T"
Ba 0.000 0.000 0.000
Mn 2.555 2.555 0.000
Br 0.000 2.555 2.126
Br 2.555 0.000 2.126
```

---

Arrangement x

BaMnBr2 | SCAN | PBEsol geometry

Summary:
space-group type = No. 166
M_tot = 5.0 Bohr magnetons per cell

Structure (extended XYZ):
```
4
Lattice="2.358 1.361 8.912 -2.358 1.361 8.912 0.000 -2.723 8.912" Properties=species:S:1:pos:R:3 pbc="T T T"
Ba 0.000 0.000 0.000
Mn 0.000 0.000 13.368
Br 0.000 0.000 7.263
Br 0.000 0.000 19.473
```

---

Arrangement y

BaMnBr2 | SCAN | PBEsol geometry

Summary:
density of states at the Fermi level = 0.87 states/eV/cell
space-group type = No. 99
M_tot = 5.0 Bohr magnetons per cell

Structure (extended XYZ):
```
4
Lattice="4.103 0.000 0.000 0.000 4.103 0.000 0.000 0.000 6.930" Properties=species:S:1:pos:R:3 pbc="T T T"
Ba 0.000 0.000 0.000
Mn 2.051 2.051 4.387
Br 0.000 0.000 3.744
Br 2.051 2.051 1.644
```

---

List of relative energies, unit kJ/mol of atoms: arrangement w 5.1; arrangement x 7.4; arrangement y 0.0

---

Arrangement w

BaMo2Br | SCAN | PBEsol geometry

Summary:
density of states at the Fermi level = 4.59 states/eV/cell
space-group type = No. 65
M_tot = 0.0 Bohr magnetons per cell

Structure (extended XYZ):
```
4
Lattice="2.818 -5.213 0.000 2.818 5.213 0.000 0.000 0.000 2.980" Properties=species:S:1:pos:R:3 pbc="T T T"
Ba 0.000 0.000 0.000
Mo 1.409 2.606 1.490
Mo 1.409 -2.606 1.490
Br 2.818 0.000 0.000
```

---

Arrangement x

BaMo2Br | SCAN | PBEsol geometry

Summary:
density of states at the Fermi level = 3.24 states/eV/cell
space-group type = No. 44
M_tot = 0.0 Bohr magnetons per cell

Structure (extended XYZ):
```
4
Lattice="-1.669 3.067 4.937 1.669 -3.067 4.937 1.669 3.067 -4.937" Properties=species:S:1:pos:R:3 pbc="T T T"
Ba 0.000 0.000 0.000
Mo 1.669 0.000 3.119
Mo 0.000 0.000 4.723
Br 0.000 3.067 2.051
```

---

List of relative energies, unit kJ/mol of atoms: arrangement w 87.6; arrangement x 0.0

---

Arrangement w

BaMoBr2 | SCAN | PBEsol geometry

Summary:
density of states at the Fermi level = 1.61 states/eV/cell
space-group type = No. 119
M_tot = 5.4 Bohr magnetons per cell

Structure (extended XYZ):
```
4
Lattice="-2.224 2.224 5.883 2.224 -2.224 5.883 2.224 2.224 -5.883" Properties=species:S:1:pos:R:3 pbc="T T T"
Ba 0.000 0.000 0.000
Mo 2.224 0.000 2.941
Br 0.000 0.000 5.883
Br 0.000 2.224 2.941
```

---

Arrangement x

BaMoBr2 | SCAN | PBEsol geometry

Summary:
density of states at the Fermi level = 1.49 states/eV/cell
space-group type = No. 123
M_tot = 5.3 Bohr magnetons per cell

Structure (extended XYZ):
```
4
Lattice="5.130 0.000 0.000 0.000 5.130 0.000 0.000 0.000 4.118" Properties=species:S:1:pos:R:3 pbc="T T T"
Ba 0.000 0.000 0.000
Mo 2.565 2.565 0.000
Br 0.000 2.565 2.059
Br 2.565 0.000 2.059
```

---

List of relative energies, unit kJ/mol of atoms: arrangement w 2.8; arrangement x 0.0

---

Arrangement w

BaS2BrN | SCAN | PBEsol geometry

Summary:
density of states at the Fermi level = 2.26 states/eV/cell
space-group type = No. 123
M_tot = 1.6 Bohr magnetons per cell

Structure (extended XYZ):
```
5
Lattice="5.039 0.000 0.000 0.000 5.039 0.000 0.000 0.000 4.270" Properties=species:S:1:pos:R:3 pbc="T T T"
Ba 0.000 0.000 0.000
S 0.000 2.520 2.135
S 2.520 0.000 2.135
Br 2.520 2.520 2.135
N 2.520 2.520 0.000
```

---

Arrangement x

BaS2BrN | SCAN | PBEsol geometry

Summary:
density of states at the Fermi level = 2.09 states/eV/cell
space-group type = No. 123
M_tot = 6.0 Bohr magnetons per cell

Structure (extended XYZ):
```
5
Lattice="6.059 0.000 0.000 0.000 6.059 0.000 0.000 0.000 5.258" Properties=species:S:1:pos:R:3 pbc="T T T"
Ba 0.000 0.000 0.000
S 0.000 3.029 0.000
S 3.029 0.000 0.000
Br 3.029 3.029 2.629
N 0.000 0.000 2.629
```

---

List of relative energies, unit kJ/mol of atoms: arrangement w 0.0; arrangement x 56.1